No. 1
Here is NbNiSe4 after structural relaxation from the Alexandria database. Energies are from PBE-GGA.

**Total magnetization**: 0.00 μB/cell
**Uncorrected formation energy**: -317 meV/atom
**Calculated total energy**: -5.282 eV per atom
**Symmetry**: C2/m, No. 12

a b c (Å): 8.0735 8.0735 8.0752
angles (deg): 103.55 103.55 36.28
With the nearest neighbours (Å) after each atom.
Fractional coordinates of all 12 atoms:
1 Nb 0.2031 0.2031 0.2689  3 Se 2.34-2.58
2 Nb 0.7969 0.7969 0.7311  3 Se 2.34-2.58
3 Ni 0.0996 0.0996 0.6791  6 Se 2.34-2.55
4 Ni 0.9004 0.9004 0.3209  6 Se 2.34-2.55
5 Se 0.0639 0.0639 0.3797  2 Ni 2.34-2.44, 1 Nb 2.51
6 Se 0.1237 0.1237 0.9818  1 Nb 2.34, 1 Ni 2.38
7 Se 0.2522 0.2522 0.6470  1 Ni 2.42, 2 Nb 2.65
8 Se 0.3737 0.3737 0.2938  2 Ni 2.55, 1 Nb 2.58
9 Se 0.6263 0.6263 0.7062  2 Ni 2.55, 1 Nb 2.58
10 Se 0.7478 0.7478 0.3530  1 Ni 2.42, 2 Nb 2.65
11 Se 0.8763 0.8763 0.0182  1 Nb 2.34, 1 Ni 2.38
12 Se 0.9361 0.9361 0.6203  2 Ni 2.34-2.44, 1 Nb 2.51

---

No. 2
Here is Ho2In3Hg3 after structural relaxation from the Alexandria database. Energies are from PBE-GGA.

**Total magnetization**: 0.00 μB/cell
**Calculated total energy**: -2.639 eV per atom
**Symmetry**: Pmmm, No. 47

a b c (Å): 4.5813 4.6147 9.1579
angles (deg): 90.00 90.00 90.00
With the nearest neighbours (Å) after each atom.
Fractional coordinates of all 8 atoms:
1 Ho 0.0000 0.0000 0.2481  6 In 3.23-3.26, 6 Hg 3.24-3.25
2 Ho 0.0000 0.0000 0.7519  6 In 3.23-3.26, 6 Hg 3.24-3.25
3 In 0.0000 0.5000 0.5000  4 Hg 3.22, 4 In 3.25, 4 Ho 3.26
4 In 0.5000 0.0000 0.0000  4 Ho 3.23, 8 Hg 3.25-3.27
5 In 0.5000 0.0000 0.5000  4 Hg 3.23, 4 Ho 3.25, 4 In 3.25
6 Hg 0.0000 0.5000 0.0000  4 Ho 3.24, 4 In 3.25, 4 Hg 3.26
7 Hg 0.5000 0.5000 0.2533  6 In 3.22-3.27, 4 Ho 3.25, 2 Hg 3.26
8 Hg 0.5000 0.5000 0.7467  6 In 3.22-3.27, 4 Ho 3.25, 2 Hg 3.26

---

No. 3
Here is Y2HoAg after structural relaxation from the Alexandria database. Energies are from PBE-GGA.

**Total magnetization**: 0.00 μB/cell
**Calculated total energy**: -5.220 eV per atom
**Symmetry**: P4/mmm, No. 123

a b c (Å): 3.5674 3.5674 8.8840
angles (deg): 90.00 90.00 90.00
With the nearest neighbours (Å) after each atom.
Fractional coordinates of all 4 atoms:
1 Y 0.0000 0.0000 0.2155  4 Ag 3.17
2 Y 0.0000 0.0000 0.7845  4 Ag 3.17
3 Ho 0.5000 0.5000 0.5000  4 Ho 3.57, 8 Y 3.57
4 Ag 0.5000 0.5000 0.0000  8 Y 3.17

---

Question: Look up the total magnetization of the second one.
Answer: 0.00 μB/cell